Computed, not measured: an optimized crystal structure of YB3W at the PBE level of DFT.

a b c (Å): 4.1894 4.1894 4.1894
angles (deg): 90.00 90.00 90.00
Closest atoms and distances in Å follow each position.
Element x y z (fractional)
Y 0.0000 0.0000 0.0000  12 B 2.96
B 0.0000 0.5000 0.5000  2 W 2.09
B 0.5000 0.0000 0.5000  2 W 2.09
B 0.5000 0.5000 0.0000  2 W 2.09
W 0.5000 0.5000 0.5000  6 B 2.09

Results
The value obtained for the formation energy is 0.273 eV per atom. As for the total moment: 0.000 μB/atom. Its calculated density is 6.892 g/cm3. The value obtained for the density of states at the Fermi level is 1.9 states/eV/cell. The value obtained for the calculated volume is 74 Å³/cell.